The following is a GGA-PBE calculation of crystalline NbTl3Ge at its relaxed geometry, from Alexandria.

a = 5.3963 Å, b = 5.3963 Å, c = 5.3963 Å
α = 90.00°, β = 90.00°, γ = 90.00°
With the nearest neighbours (Å) after each atom.
Space group Pm-3m (No. 221)
Symmetry-distinct sites (fractional):
Nb1 0.0000 0.0000 0.0000 (multiplicity 1)  12 Tl 3.82
Tl1 0.0000 0.5000 0.5000 (multiplicity 3)  2 Ge 2.70
Ge1 0.5000 0.5000 0.5000 (multiplicity 1)  6 Tl 2.70

Summary:
The value obtained for the density of states at the Fermi level is 5.66 states/eV per cell. The energy above the most stable polymorph in this dataset is 1.31 eV per formula unit. The calculation puts the formation energy at 5.702 eV per formula unit. For the total energy, the calculation gives -3.2167 eV/atom.